VASP calculation (SCAN) on a PBEsol-optimized structure of LaHfSCl2.

Calculated density: 4.356 Mg/m³
Formation energy from raw total energies: -0.669 eV/atom
Electronic total energy: -26.941 eV per atom
Space-group type: P4/mmm
Total moment: 1.3 μB per formula unit

Geometry as POSCAR:
```
LaHfSCl2
1.0
5.374 0.000 0.000
0.000 5.374 0.000
0.000 0.000 5.549
Cl Hf La S
2 1 1 1
Cartesian
0.000 2.687 0.000 Cl
2.687 0.000 0.000 Cl
2.687 2.687 2.775 Hf
0.000 0.000 0.000 La
0.000 0.000 2.775 S
```